The following is a DFT calculation (PBE) of crystalline AcTlSiO5 at its relaxed geometry.

The calculation puts the density of states at the Fermi level at 0.00 states/eV/f.u. Its raw formation energy is -2.38 eV/atom. The calculation puts the magnetization at 0.00 Bohr magnetons per cell.

abc: 6.0748 6.0748 7.1188
angles: 100.63 100.63 109.17
With the nearest neighbours (Å) after each atom.
Element x y z (fractional)
O (0.8988, 0.1012, 0.7500)  2 Tl 2.04
Ac (0.3506, 0.6494, 0.2500)  5 O 2.47-2.65
O (0.7245, 0.5597, 0.4242)  1 Si 1.67
O (0.3454, 0.9059, 0.6385)  1 Si 1.66
O (0.4403, 0.2755, 0.0758)  1 Si 1.67
O (0.1012, 0.8988, 0.2500)  2 Tl 2.04
Si (0.3149, 0.6851, 0.7500)  4 O 1.66-1.67
O (0.0941, 0.6546, 0.8615)  1 Si 1.66
O (0.2755, 0.4403, 0.5758)  1 Si 1.67
Si (0.6851, 0.3149, 0.2500)  4 O 1.66-1.67
Tl (0.0000, 0.0000, 0.5000)  2 O 2.04
O (0.6546, 0.0941, 0.3615)  1 Si 1.66
Ac (0.6494, 0.3506, 0.7500)  5 O 2.47-2.65
O (0.5597, 0.7245, 0.9242)  1 Si 1.67
O (0.9059, 0.3454, 0.1385)  1 Si 1.66
Tl (0.0000, 0.0000, 0.0000)  2 O 2.04

The following is a DFT calculation (PBE) of crystalline AcTlSiO4 at its relaxed geometry.

The calculation puts the density of states at the Fermi level at 0.00 states/eV/f.u. Its raw formation energy is -2.60 eV/atom. The calculation puts the magnetization at 0.00 Bohr magnetons per cell.

abc: 6.3274 5.5117 8.1578
angles: 90.00 103.16 90.00
With the nearest neighbours (Å) after each atom.
Element x y z (fractional)
Ac (0.7502, 0.7500, 0.4142)  6 O 2.49-2.66
Si (0.7609, 0.2500, 0.6522)  4 O 1.63-1.66
O (0.6081, 0.2500, 0.7890)  1 Si 1.63
O (0.9236, 0.0118, 0.6679)  1 Si 1.66
O (0.0764, 0.9882, 0.3321)  1 Si 1.66
O (0.6013, 0.2500, 0.4597)  1 Si 1.66
Tl (0.7727, 0.7500, 0.8927)  2 O 2.67
O (0.3919, 0.7500, 0.2110)  1 Si 1.63
Ac (0.2498, 0.2500, 0.5858)  6 O 2.49-2.66
O (0.0764, 0.5118, 0.3321)  1 Si 1.66
Tl (0.2273, 0.2500, 0.1073)  2 O 2.67
O (0.9236, 0.4882, 0.6679)  1 Si 1.66
Si (0.2391, 0.7500, 0.3478)  4 O 1.63-1.66
O (0.3987, 0.7500, 0.5403)  1 Si 1.66

The following is a DFT calculation (PBE) of crystalline AcTl2SiO4 at its relaxed geometry.

The calculation puts the density of states at the Fermi level at 1.23 states/eV/f.u. Its raw formation energy is -1.81 eV/atom. The calculation puts the magnetization at 0.00 Bohr magnetons per cell.

abc: 7.2023 7.2023 8.7349
angles: 127.12 127.12 70.81
With the nearest neighbours (Å) after each atom.
Element x y z (fractional)
O (0.8881, 0.2687, 0.0800)  1 Si 1.70
O (0.7687, 0.3881, 0.5800)  1 Si 1.70
Tl (0.5000, 0.0000, 0.5000)  4 O 2.90-2.91
O (0.4958, 0.4990, 0.6954)  1 Si 1.73
Tl (0.5000, 0.5000, 0.0000)  4 O 2.64-2.66
O (0.0010, 0.0042, 0.8046)  1 Si 1.73
Si (0.5000, 0.5000, 0.5000)  4 O 1.70-1.73
O (0.5042, 0.5010, 0.3046)  1 Si 1.73
Tl (0.5000, 0.0000, 0.0000)  4 O 2.90-2.91
Ac (0.0000, 0.5000, 0.0000)  6 O 2.61-2.88
O (0.1119, 0.7313, 0.9200)  1 Si 1.70
O (0.2313, 0.6119, 0.4200)  1 Si 1.70
Tl (0.0000, 0.0000, 0.5000)  4 O 2.64-2.66
O (0.9990, 0.9958, 0.1954)  1 Si 1.73
Ac (0.0000, 0.5000, 0.5000)  6 O 2.61-2.88
Si (0.0000, 0.0000, 0.0000)  4 O 1.70-1.73

The following is a DFT calculation (PBE) of crystalline AcTmSiO6 at its relaxed geometry.

The calculation puts the density of states at the Fermi level at 4.71 states/eV/f.u. Its raw formation energy is -2.63 eV/atom. The calculation puts the magnetization at 2.01 Bohr magnetons per cell.

abc: 5.2190 5.3785 5.3785
angles: 120.00 90.00 90.00
With the nearest neighbours (Å) after each atom.
Element x y z (fractional)
Tm (0.5000, 0.6667, 0.3333)  6 O 2.22
O (0.3018, 0.7281, 0.0031)  1 Si 1.80
O (0.3018, 0.2750, 0.2719)  1 Si 1.80
O (0.6982, 0.2750, 0.0031)  1 Si 1.80
Si (0.5000, 0.0000, 0.0000)  6 O 1.80
Ac (0.0000, 0.3333, 0.6667)  6 O 2.53
O (0.3018, 0.9969, 0.7250)  1 Si 1.80
O (0.6982, 0.7281, 0.7250)  1 Si 1.80
O (0.6982, 0.9969, 0.2719)  1 Si 1.80

The following is a DFT calculation (PBE) of crystalline AcTmSiO5 at its relaxed geometry.

The calculation puts the density of states at the Fermi level at 0.00 states/eV/f.u. Its raw formation energy is -3.31 eV/atom. The calculation puts the magnetization at 0.00 Bohr magnetons per cell.

abc: 5.9336 5.9336 7.5120
angles: 102.08 102.08 107.68
With the nearest neighbours (Å) after each atom.
Element x y z (fractional)
O (0.3239, 0.8902, 0.6314)  1 Si 1.67
Tm (0.0000, 0.0000, 0.0000)  6 O 2.09-2.32
O (0.2608, 0.4122, 0.5926)  1 Si 1.67
O (0.5878, 0.7392, 0.9074)  1 Si 1.67
O (0.7392, 0.5878, 0.4074)  1 Si 1.67
O (0.1098, 0.6761, 0.8686)  1 Si 1.67
Ac (0.3359, 0.6641, 0.2500)  1 O 2.29
O (0.6761, 0.1098, 0.3686)  1 Si 1.67
Si (0.6813, 0.3187, 0.2500)  4 O 1.67
Tm (0.0000, 0.0000, 0.5000)  6 O 2.09-2.32
O (0.9035, 0.0965, 0.7500)  2 Tm 2.09, 1 Ac 2.29
Si (0.3187, 0.6813, 0.7500)  4 O 1.67
O (0.8902, 0.3239, 0.1314)  1 Si 1.67
Ac (0.6641, 0.3359, 0.7500)  1 O 2.29
O (0.4122, 0.2608, 0.0926)  1 Si 1.67
O (0.0965, 0.9035, 0.2500)  2 Tm 2.09, 1 Ac 2.29

The following is a DFT calculation (PBE) of crystalline AcUSi2O8 at its relaxed geometry.

The calculation puts the density of states at the Fermi level at 3.32 states/eV/f.u. Its raw formation energy is -3.00 eV/atom. The calculation puts the magnetization at 1.00 Bohr magnetons per cell.

abc: 6.0050 6.0050 6.0050
angles: 106.08 106.08 116.49
With the nearest neighbours (Å) after each atom.
Element x y z (fractional)
Si (0.5000, 0.5000, 0.0000)  4 O 1.64
O (0.3220, 0.1559, 0.8340)  1 Si 1.64
Si (0.7500, 0.2500, 0.5000)  4 O 1.67
O (0.4078, 0.0958, 0.3119)  1 Si 1.67
O (0.7839, 0.0958, 0.6881)  1 Si 1.67
Ac (0.2500, 0.7500, 0.5000)  8 O 2.45-2.57
O (0.9042, 0.5922, 0.6881)  1 Si 1.67
O (0.9042, 0.2161, 0.3119)  1 Si 1.67
U (0.0000, 0.0000, 0.0000)  8 O 2.33-2.36
O (0.3220, 0.4880, 0.1660)  1 Si 1.64
O (0.5120, 0.6780, 0.8340)  1 Si 1.64
O (0.8441, 0.6780, 0.1660)  1 Si 1.64

The following is a DFT calculation (PBE) of crystalline Ac2USiO8 at its relaxed geometry.

Its raw formation energy is -3.01 eV/atom. The calculation puts the magnetization at 0.00 Bohr magnetons per cell.

abc: 4.3408 5.5340 7.9197
angles: 100.53 85.43 99.32
With the nearest neighbours (Å) after each atom.
Element x y z (fractional)
Ac (0.4621, 0.5450, 0.7621)  8 O 2.48-2.76
Ac (0.5379, 0.4550, 0.2379)  8 O 2.48-2.76
O (0.9679, 0.1488, 0.2151)  1 Si 1.76
O (0.5845, 0.7823, 0.5215)  1 U 2.01
O (0.0321, 0.8512, 0.7849)  1 Si 1.76
U (0.0000, 0.0000, 0.5000)  4 O 1.98-2.01
O (0.2941, 0.2307, 0.9636)  1 Si 1.70
Si (0.0000, 0.0000, 0.0000)  4 O 1.70-1.76
O (0.7059, 0.7693, 0.0364)  1 Si 1.70
O (0.4155, 0.2177, 0.4785)  1 U 2.01
O (0.0832, 0.7088, 0.3252)  1 U 1.98
O (0.9168, 0.2912, 0.6748)  1 U 1.98